# FeW4SN2 (PBE, relaxed)
# - Symmetry: P-6m2
data_FeW4SN2
_chemical_formula_sum 'Fe1 W4 S1 N2'
_symmetry_space_group_name_H-M 'P 1'
_symmetry_Int_Tables_number 1
_cell_length_a 2.881
_cell_length_b 2.881
_cell_length_c 13.712
_cell_angle_alpha 90.00
_cell_angle_beta 90.00
_cell_angle_gamma 120.00
loop_
_symmetry_equiv_pos_as_xyz
'x,y,z'
loop_
_atom_site_label
_atom_site_fract_x
_atom_site_fract_y
_atom_site_fract_z
_atom_site_occupancy
Fe1 0.000 0.000 0.000 1
N1 0.333 0.667 0.256 1
N2 0.333 0.667 0.744 1
S1 0.667 0.333 0.500 1
W1 0.667 0.333 0.153 1
W2 0.000 0.000 0.361 1
W3 0.000 0.000 0.639 1
W4 0.667 0.333 0.847 1

# LiScZnS3 (PBE, relaxed)
# - Symmetry: Cmcm
data_LiScZnS3
_chemical_formula_sum 'Li2 Sc2 Zn2 S6'
_symmetry_space_group_name_H-M 'P 1'
_symmetry_Int_Tables_number 1
_cell_length_a 6.389
_cell_length_b 6.389
_cell_length_c 10.090
_cell_angle_alpha 90.00
_cell_angle_beta 90.00
_cell_angle_gamma 33.43
loop_
_symmetry_equiv_pos_as_xyz
'x,y,z'
loop_
_atom_site_label
_atom_site_fract_x
_atom_site_fract_y
_atom_site_fract_z
_atom_site_occupancy
Li1 0.762 0.762 0.250 1
Li2 0.238 0.238 0.750 1
S1 0.364 0.364 0.069 1
S2 0.094 0.094 0.250 1
S3 0.364 0.364 0.431 1
S4 0.636 0.636 0.569 1
S5 0.906 0.906 0.750 1
S6 0.636 0.636 0.931 1
Sc1 0.000 0.000 0.000 1
Sc2 0.000 0.000 0.500 1
Zn1 0.477 0.477 0.250 1
Zn2 0.523 0.523 0.750 1

# RbIrPb (PBE, relaxed)
# - Symmetry: F-43m
data_RbIrPb
_chemical_formula_sum 'Rb1 Ir1 Pb1'
_symmetry_space_group_name_H-M 'P 1'
_symmetry_Int_Tables_number 1
_cell_length_a 5.142
_cell_length_b 5.142
_cell_length_c 5.142
_cell_angle_alpha 60.00
_cell_angle_beta 60.00
_cell_angle_gamma 60.00
loop_
_symmetry_equiv_pos_as_xyz
'x,y,z'
loop_
_atom_site_label
_atom_site_fract_x
_atom_site_fract_y
_atom_site_fract_z
_atom_site_occupancy
Ir1 0.250 0.250 0.250 1
Pb1 0.750 0.750 0.750 1
Rb1 0.000 0.000 0.000 1

# TlPPt5 (PBE, relaxed)
# - Symmetry: P4/mmm
data_TlPPt5
_chemical_formula_sum 'Tl1 P1 Pt5'
_symmetry_space_group_name_H-M 'P 1'
_symmetry_Int_Tables_number 1
_cell_length_a 4.011
_cell_length_b 4.011
_cell_length_c 7.192
_cell_angle_alpha 90.00
_cell_angle_beta 90.00
_cell_angle_gamma 90.00
loop_
_symmetry_equiv_pos_as_xyz
'x,y,z'
loop_
_atom_site_label
_atom_site_fract_x
_atom_site_fract_y
_atom_site_fract_z
_atom_site_occupancy
P1 0.000 0.000 0.500 1
Pt1 0.000 0.000 0.000 1
Pt2 0.500 0.000 0.303 1
Pt3 0.000 0.500 0.303 1
Pt4 0.500 0.000 0.697 1
Pt5 0.000 0.500 0.697 1
Tl1 0.500 0.500 0.000 1

# SrAlCdAu (PBE, relaxed)
# - Symmetry: F-43m
data_SrAlCdAu
_chemical_formula_sum 'Sr1 Al1 Cd1 Au1'
_symmetry_space_group_name_H-M 'P 1'
_symmetry_Int_Tables_number 1
_cell_length_a 5.044
_cell_length_b 5.044
_cell_length_c 5.044
_cell_angle_alpha 60.00
_cell_angle_beta 60.00
_cell_angle_gamma 60.00
loop_
_symmetry_equiv_pos_as_xyz
'x,y,z'
loop_
_atom_site_label
_atom_site_fract_x
_atom_site_fract_y
_atom_site_fract_z
_atom_site_occupancy
Al1 0.500 0.500 0.500 1
Au1 0.750 0.750 0.750 1
Cd1 0.000 0.000 0.000 1
Sr1 0.250 0.250 0.250 1

# FeHgGeSe3 (PBE, relaxed)
# - Symmetry: Cmcm
data_FeHgGeSe3
_chemical_formula_sum 'Fe2 Hg2 Ge2 Se6'
_symmetry_space_group_name_H-M 'P 1'
_symmetry_Int_Tables_number 1
_cell_length_a 8.108
_cell_length_b 8.108
_cell_length_c 9.857
_cell_angle_alpha 90.00
_cell_angle_beta 90.00
_cell_angle_gamma 25.65
loop_
_symmetry_equiv_pos_as_xyz
'x,y,z'
loop_
_atom_site_label
_atom_site_fract_x
_atom_site_fract_y
_atom_site_fract_z
_atom_site_occupancy
Fe1 0.000 0.000 0.000 1
Fe2 0.000 0.000 0.500 1
Ge1 0.639 0.639 0.250 1
Ge2 0.361 0.361 0.750 1
Hg1 0.283 0.283 0.250 1
Hg2 0.717 0.717 0.750 1
Se1 0.397 0.397 0.017 1
Se2 0.025 0.025 0.250 1
Se3 0.397 0.397 0.483 1
Se4 0.603 0.603 0.517 1
Se5 0.975 0.975 0.750 1
Se6 0.603 0.603 0.983 1

Which total energy belongs to each record? In order, -9.88; -4.95; -2.91; -5.68; -2.60; -4.09 eV per atom.